Record 1
The following is a PBE calculation of a geometry-optimized LiVTcSb structure, from Alexandria.

```
LiVTcSb
1.0
0.000 3.111 3.111
3.111 0.000 3.111
3.111 3.111 0.000
Li V Tc Sb
1 1 1 1
direct
0.000 0.000 0.000 Li
0.750 0.750 0.750 V
0.500 0.500 0.500 Tc
0.250 0.250 0.250 Sb
```

Output
**Theoretical density**: 7.7 g/cm3
**E_form (uncorrected)**: -0.78 eV per formula unit
**Space-group type**: F-43m, No. 216

---

Record 2
The following is a PBE calculation of a geometry-optimized LiSbTe3 structure, from Alexandria.

```
LiSbTe3
1.0
5.792 0.000 0.000
0.000 5.792 0.000
0.000 0.000 5.792
Li Sb Te
1 1 3
direct
0.000 0.000 0.000 Li
0.500 0.500 0.500 Sb
0.000 0.500 0.500 Te
0.500 0.000 0.500 Te
0.500 0.500 0.000 Te
```

Output
**Theoretical density**: 4.4 g/cm3
**E_form (uncorrected)**: 0.91 eV per formula unit
**Distance to the lowest polymorph of the same formula**: 399 meV per atom
**Space-group type**: Pm-3m, No. 221

---

Record 3
The following is a PBE calculation of a geometry-optimized LiSb3Te structure, from Alexandria.

```
LiSb3Te
1.0
5.074 0.000 0.000
0.000 5.074 0.000
0.000 0.000 5.074
Li Sb Te
1 3 1
direct
0.000 0.000 0.000 Li
0.000 0.000 0.500 Sb
0.000 0.500 0.000 Sb
0.500 0.000 0.000 Sb
0.500 0.500 0.500 Te
```

Output
**Theoretical density**: 6.4 g/cm3
**E_form (uncorrected)**: 1.72 eV per formula unit
**Distance to the lowest polymorph of the same formula**: 0 meV per atom
**Space-group type**: Pm-3m, No. 221

---

Record 4
The following is a PBE calculation of a geometry-optimized LiSb2Te2 structure, from Alexandria.

```
LiSb2Te2
1.0
-2.214 2.214 8.071
2.214 -2.214 8.071
2.214 2.214 -8.071
Li Sb Te
1 2 2
direct
0.000 0.000 0.000 Li
0.416 0.416 0.000 Sb
0.584 0.584 0.000 Sb
0.250 0.750 0.500 Te
0.750 0.250 0.500 Te
```

Output
**Theoretical density**: 5.3 g/cm3
**E_form (uncorrected)**: 0.74 eV per formula unit
**Distance to the lowest polymorph of the same formula**: 230 meV per atom
**Space-group type**: I4/mmm, No. 139